A relaxed ThSnGe2 crystal, computed with PBE.

Computed properties:
- energy of formation (eV/f.u.) = 1.15
- total magnetic moment (μB/atom) = 0.0000

Geometry as CIF:
```
data_ThSnGe2
_cell_length_a 4.7314
_cell_length_b 4.7314
_cell_length_c 22.5826
_cell_angle_alpha 90.00
_cell_angle_beta 90.00
_cell_angle_gamma 120.00
_space_group_name_H-M_alt 'R -3 m'
_space_group_IT_number 166
_space_group_name_Hall '-R 3 2"'
loop_
_atom_site_label
_atom_site_fract_x
_atom_site_fract_y
_atom_site_fract_z
_atom_site_occupancy
Th1 0.0000 0.0000 0.0000 1
Sn1 0.0000 0.0000 0.5000 1
Ge1 0.0000 0.0000 0.3887 1
```